Computed, not measured: a relaxed ScTa2Br crystal at the GGA-PBE level of DFT.

Properties
The formation energy from raw total energies is 1.042 eV per atom. As for the total energy: -6.886 eV/atom. Its crystal system is cubic.

Cell lengths 4.786, 4.786, 4.786 Å; angles 60.00, 60.00, 60.00 degrees
Sites, in units of the cell vectors:
Br 0.500 0.500 0.500
Sc 0.000 0.000 0.000
Ta 0.250 0.250 0.250
Ta 0.750 0.750 0.750

Computed, not measured: a relaxed ScTa2Br crystal at the GGA-PBE level of DFT.

Properties
The formation energy from raw total energies is 0.555 eV per atom. As for the total energy: -7.372 eV/atom. Its crystal system is tetragonal.

Cell lengths 5.081, 5.081, 5.081 Å; angles 128.46, 128.46, 75.88 degrees
Sites, in units of the cell vectors:
Ta 0.000 0.000 0.000
Ta 0.250 0.750 0.500
Br 0.500 0.500 0.000
Sc 0.750 0.250 0.500

Computed, not measured: a relaxed ScTa2Br crystal at the GGA-PBE level of DFT.

Properties
The formation energy from raw total energies is -0.072 eV per atom. As for the total energy: -7.999 eV/atom. Its crystal system is orthorhombic.

Cell lengths 3.340, 3.429, 7.693 Å; angles 77.12, 90.00, 90.00 degrees
Sites, in units of the cell vectors:
Br 0.000 0.296 0.533
Ta 0.500 0.468 0.188
Ta 0.000 0.058 0.009
Sc 0.500 0.677 0.770